(1)
Here is an optimized crystal structure of NaHgSbTe2 from the Alexandria database. Energies are from PBE.

```
data_NaHgSbTe2
_chemical_formula_sum 'Na1 Hg1 Sb1 Te2'
_cell_length_a 5.554
_cell_length_b 5.554
_cell_length_c 5.558
_cell_angle_alpha 90.00
_cell_angle_beta 90.00
_cell_angle_gamma 90.00
_symmetry_space_group_name_H-M 'P 4/m m m'
_symmetry_Int_Tables_number 123
_symmetry_space_group_name_Hall '-P 4 2'
loop_
_atom_site_label
_atom_site_type_symbol
_atom_site_fract_x
_atom_site_fract_y
_atom_site_fract_z
Na1 Na 0.000 0.000 0.000
Hg1 Hg 0.500 0.500 0.500
Sb1 Sb 0.000 0.000 0.500
Te1 Te 0.000 0.500 0.000
```

Output
The calculation puts the total magnetization at 0.00 Bohr magnetons per cell. The energy above the lowest structure with this stoichiometry comes out at 0.291 eV/atom.

---

(2)
Here is an optimized crystal structure of Na2HgSbTe4 from the Alexandria database. Energies are from PBE.

```
data_Na2HgSbTe4
_chemical_formula_sum 'Na8 Hg4 Sb4 Te16'
_cell_length_a 12.370
_cell_length_b 12.855
_cell_length_c 8.717
_cell_angle_alpha 90.00
_cell_angle_beta 132.76
_cell_angle_gamma 90.00
_symmetry_space_group_name_H-M 'C 1 2/c 1'
_symmetry_Int_Tables_number 15
loop_
_symmetry_equiv_pos_as_xyz
'x,y,z'
'-x,-y,-z'
'-x,y,-z+1/2'
'x,-y,z+1/2'
'x+1/2,y+1/2,z'
'-x+1/2,-y+1/2,-z'
'-x+1/2,y+1/2,-z+1/2'
'x+1/2,-y+1/2,z+1/2'
loop_
_atom_site_label
_atom_site_type_symbol
_atom_site_fract_x
_atom_site_fract_y
_atom_site_fract_z
Na1 Na 0.000 0.000 0.000
Na2 Na 0.250 0.250 0.000
Hg1 Hg 0.250 0.250 0.500
Sb1 Sb 0.000 0.500 0.000
Te1 Te 0.027 0.259 0.509
Te2 Te 0.237 0.492 0.980
```

Output
The calculation puts the total magnetization at 0.00 Bohr magnetons per cell.

---

(3)
Here is an optimized crystal structure of NaHgSbTe2 from the Alexandria database. Energies are from PBE.

```
data_NaHgSbTe2
_chemical_formula_sum 'Na1 Hg1 Sb1 Te2'
_cell_length_a 5.851
_cell_length_b 5.851
_cell_length_c 5.481
_cell_angle_alpha 90.00
_cell_angle_beta 90.00
_cell_angle_gamma 90.00
_symmetry_space_group_name_H-M 'P 4/m m m'
_symmetry_Int_Tables_number 123
_symmetry_space_group_name_Hall '-P 4 2'
loop_
_atom_site_label
_atom_site_type_symbol
_atom_site_fract_x
_atom_site_fract_y
_atom_site_fract_z
Na1 Na 0.000 0.000 0.000
Hg1 Hg 0.500 0.500 0.500
Sb1 Sb 0.500 0.500 0.000
Te1 Te 0.000 0.500 0.500
```

Output
The calculation puts the total magnetization at 0.00 Bohr magnetons per cell. The energy above the lowest structure with this stoichiometry comes out at 0.000 eV/atom.

---

(4)
Here is an optimized crystal structure of NaHgSbTe3 from the Alexandria database. Energies are from PBE.

```
data_NaHgSbTe3
_chemical_formula_sum 'Na2 Hg2 Sb2 Te6'
_cell_length_a 8.813
_cell_length_b 4.466
_cell_length_c 10.384
_cell_angle_alpha 90.00
_cell_angle_beta 101.16
_cell_angle_gamma 90.00
_symmetry_space_group_name_H-M 'P 1 21/m 1'
_symmetry_Int_Tables_number 11
loop_
_symmetry_equiv_pos_as_xyz
'x,y,z'
'-x,-y,-z'
'-x,y+1/2,-z'
'x,-y+1/2,z'
loop_
_atom_site_label
_atom_site_type_symbol
_atom_site_fract_x
_atom_site_fract_y
_atom_site_fract_z
Na1 Na 0.193 0.250 0.257
Hg1 Hg 0.093 0.250 0.607
Sb1 Sb 0.332 0.750 0.866
Te1 Te 0.093 0.250 0.882
Te2 Te 0.257 0.750 0.521
Te3 Te 0.421 0.750 0.150
```

Output
The calculation puts the total magnetization at 0.00 Bohr magnetons per cell.

---

(5)
Here is an optimized crystal structure of NaThHgSb from the Alexandria database. Energies are from PBE.

```
data_NaThHgSb
_chemical_formula_sum 'Na4 Th4 Hg4 Sb4'
_cell_length_a 7.580
_cell_length_b 7.580
_cell_length_c 7.580
_cell_angle_alpha 90.00
_cell_angle_beta 90.00
_cell_angle_gamma 90.00
_symmetry_space_group_name_H-M 'F -4 3 m'
_symmetry_Int_Tables_number 216
_symmetry_space_group_name_Hall 'F -4 2 3'
loop_
_atom_site_label
_atom_site_type_symbol
_atom_site_fract_x
_atom_site_fract_y
_atom_site_fract_z
Na1 Na 0.000 0.000 0.000
Th1 Th 0.000 0.000 0.500
Hg1 Hg 0.250 0.250 0.750
Sb1 Sb 0.250 0.250 0.250
```

Output
The calculation puts the total magnetization at 0.00 Bohr magnetons per cell.

---

(6)
Here is an optimized crystal structure of NaTiHg2Sb from the Alexandria database. Energies are from PBE.

```
data_NaTiHg2Sb
_chemical_formula_sum 'Na1 Ti1 Hg2 Sb1'
_cell_length_a 5.080
_cell_length_b 5.080
_cell_length_c 5.557
_cell_angle_alpha 90.00
_cell_angle_beta 90.00
_cell_angle_gamma 90.00
_symmetry_space_group_name_H-M 'P 4/m m m'
_symmetry_Int_Tables_number 123
_symmetry_space_group_name_Hall '-P 4 2'
loop_
_atom_site_label
_atom_site_type_symbol
_atom_site_fract_x
_atom_site_fract_y
_atom_site_fract_z
Na1 Na 0.000 0.000 0.000
Ti1 Ti 0.500 0.500 0.500
Hg1 Hg 0.000 0.500 0.000
Sb1 Sb 0.000 0.000 0.500
```

Output
The calculation puts the total magnetization at 0.00 Bohr magnetons per cell.

---

(7)
Here is an optimized crystal structure of NaTl5Hg2Sb from the Alexandria database. Energies are from PBE.

```
data_NaTl5Hg2Sb
_chemical_formula_sum 'Na4 Tl20 Hg8 Sb4'
_cell_length_a 4.738
_cell_length_b 16.322
_cell_length_c 13.761
_cell_angle_alpha 90.00
_cell_angle_beta 90.00
_cell_angle_gamma 90.00
_symmetry_space_group_name_H-M 'C m c 21'
_symmetry_Int_Tables_number 36
loop_
_symmetry_equiv_pos_as_xyz
'x,y,z'
'-x,-y,z+1/2'
'-x,y,z'
'x,-y,z+1/2'
'x+1/2,y+1/2,z'
'-x+1/2,-y+1/2,z+1/2'
'-x+1/2,y+1/2,z'
'x+1/2,-y+1/2,z+1/2'
loop_
_atom_site_label
_atom_site_type_symbol
_atom_site_fract_x
_atom_site_fract_y
_atom_site_fract_z
Na1 Na 0.000 0.084 0.000
Tl1 Tl 0.000 0.081 0.669
Tl2 Tl 0.000 0.098 0.363
Tl3 Tl 0.000 0.247 0.843
Tl4 Tl 0.000 0.263 0.158
Tl5 Tl 0.000 0.410 0.684
Hg1 Hg 0.000 0.420 0.338
Hg2 Hg 0.000 0.440 0.009
Sb1 Sb 0.000 0.271 0.503
```

Output
The calculation puts the total magnetization at 0.00 Bohr magnetons per cell.

---

(8)
Here is an optimized crystal structure of Na2TlHg2Sb2 from the Alexandria database. Energies are from PBE.

```
data_Na2TlHg2Sb2
_chemical_formula_sum 'Na6 Tl3 Hg6 Sb6'
_cell_length_a 5.1117
_cell_length_b 5.1117
_cell_length_c 26.5646
_cell_angle_alpha 90.00
_cell_angle_beta 90.00
_cell_angle_gamma 120.00
_symmetry_space_group_name_H-M 'R -3 m'
_symmetry_Int_Tables_number 166
_symmetry_space_group_name_Hall '-R 3 2"'
loop_
_atom_site_label
_atom_site_type_symbol
_atom_site_fract_x
_atom_site_fract_y
_atom_site_fract_z
Na1 Na 0.0000 0.0000 0.1354
Tl1 Tl 0.0000 0.0000 0.0000
Hg1 Hg 0.0000 0.0000 0.4267
Sb1 Sb 0.0000 0.0000 0.2594
```

Output
The calculation puts the total magnetization at 0.00 Bohr magnetons per cell.

---

VASP energy readings, ordered: -1.834; -2.789; -2.125; -2.835; -3.621; -1.972; -2.046; -2.146 eV/atom
Formation energy from raw total energies readings, ordered: 571; -335; 280; -307; -331; 815; -59; -167 meV/atom